1.
# Mg6Hg2N

An optimized crystal structure of Mg6Hg2N (PBE-GGA, Alexandria via LeMat-Bulk).

Unit cell a=6.2033 b=6.2033 c=6.2044 alpha=60.00 beta=60.00 gamma=60.01
Sites, in units of the cell vectors:
Mg: 0.2544 0.2544 0.7449
Mg: 0.2548 0.7457 0.2543
Mg: 0.7452 0.2543 0.7457
Mg: 0.7457 0.2548 0.2543
Mg: 0.2543 0.7452 0.7457
Mg: 0.7456 0.7456 0.2551
Hg: 0.2500 0.2500 0.2498
Hg: 0.7500 0.7500 0.7502
N: 0.5000 0.5000 0.5000

## Properties
As for the space-group type: Fm-3m. The uncorrected formation energy is -0.342 eV per atom. The calculated total energy comes out at -21.58 eV for the cell shown. As for the size of the total moment: 0.00 μB/f.u.

***

2.
# MgHg2N

An optimized crystal structure of MgHg2N (PBE-GGA, Alexandria via LeMat-Bulk).

Unit cell a=6.3809 b=6.3809 c=6.3602 alpha=59.89 beta=59.89 gamma=90.00
Sites, in units of the cell vectors:
Mg: 0.0000 0.0000 0.0000
Mg: 0.7500 0.2500 0.5000
Hg: 0.5488 0.1250 0.2500
Hg: 0.2012 0.6250 0.2500
Hg: 0.3750 0.4512 0.7500
Hg: 0.8750 0.7988 0.7500
N: 0.5000 0.5000 0.0000
N: 0.2500 0.7500 0.5000

## Properties
For the energy above the lowest structure with this stoichiometry, the calculation gives 0.0000 eV per atom. As for the space-group type: I-42d. The uncorrected formation energy is 0.716 eV per atom. The calculated total energy comes out at -15.32 eV for the cell shown. As for the size of the total moment: 0.00 μB/f.u.

***

3.
# MgHg2N

An optimized crystal structure of MgHg2N (PBE-GGA, Alexandria via LeMat-Bulk).

Unit cell a=4.6743 b=4.6743 c=4.6743 alpha=60.00 beta=60.00 gamma=60.00
Sites, in units of the cell vectors:
Mg: 0.5000 0.5000 0.5000
Hg: 0.2500 0.2500 0.2500
Hg: 0.7500 0.7500 0.7500
N: 0.0000 0.0000 0.0000

## Properties
For the energy above the lowest structure with this stoichiometry, the calculation gives 0.1825 eV per atom. As for the space-group type: Fm-3m. The uncorrected formation energy is 0.899 eV per atom. The calculated total energy comes out at -6.93 eV for the cell shown. As for the size of the total moment: 0.00 μB/f.u.